[1]
DFT (PBE-GGA) results for a relaxed GeBiPt2Cl crystal.

```
GeBiPt2Cl
1.0
5.171 0.000 0.000
0.000 5.171 0.000
0.000 0.000 5.265
Ge Bi Pt Cl
1 1 2 1
direct
0.000 0.000 0.000
0.500 0.500 0.500
0.000 0.500 0.500
0.500 0.000 0.500
0.500 0.500 0.000
```

E	-3.749	eV/atom

=====

[2]
DFT (PBE-GGA) results for a relaxed RbGe2BiCl8 crystal.

```
RbGe2BiCl8
1.0
6.448 0.000 0.000
-0.670 6.988 0.000
-0.130 -0.468 9.402
Rb Ge Bi Cl
1 2 1 8
direct
0.000 0.000 0.000
0.450 0.553 0.281
0.550 0.447 0.719
0.000 0.000 0.500
0.214 0.196 0.299
0.237 0.689 0.465
0.274 0.137 0.716
0.274 0.635 0.084
0.726 0.365 0.916
0.726 0.863 0.284
0.763 0.311 0.535
0.786 0.804 0.701
```

E	-3.458	eV/atom

=====

[3]
DFT (PBE-GGA) results for a relaxed Rb2GeBiCl6 crystal.

```
Rb2GeBiCl6
1.0
-3.863 3.863 5.496
3.863 -3.863 5.496
3.863 3.863 -5.496
Rb Ge Bi Cl
2 1 1 6
direct
0.250 0.750 0.500
0.750 0.250 0.500
0.000 0.000 0.000
0.500 0.500 0.000
0.244 0.244 0.000
0.244 0.244 0.488
0.244 0.756 0.000
0.756 0.244 0.000
0.756 0.756 0.000
0.756 0.756 0.512
```

E	-3.361	eV/atom

=====

[4]
DFT (PBE-GGA) results for a relaxed GeBiSCl2 crystal.

```
GeBiSCl2
1.0
4.650 0.000 0.000
0.000 4.650 0.000
0.000 0.000 6.223
Ge Bi S Cl
1 1 1 2
direct
0.000 0.000 0.000
0.000 0.000 0.500
0.500 0.500 0.500
0.000 0.500 0.000
0.500 0.000 0.000
```

E	-3.263	eV/atom

=====

[5]
DFT (PBE-GGA) results for a relaxed GeBiSCl2 crystal.

```
GeBiSCl2
1.0
4.940 0.000 0.000
0.000 4.940 0.000
0.000 0.000 5.100
Ge Bi S Cl
1 1 1 2
direct
0.000 0.000 0.000
0.500 0.500 0.500
0.000 0.000 0.500
0.000 0.500 0.000
0.500 0.000 0.000
```

E	-3.359	eV/atom

=====

[6]
DFT (PBE-GGA) results for a relaxed GeBiSCl2 crystal.

```
GeBiSCl2
1.0
5.362 0.000 0.000
0.000 5.362 0.000
0.000 0.000 5.461
Ge Bi S Cl
1 1 1 2
direct
0.000 0.000 0.000
0.500 0.500 0.500
0.500 0.500 0.000
0.000 0.500 0.500
0.500 0.000 0.500
```

E	-3.196	eV/atom

=====

[7]
DFT (PBE-GGA) results for a relaxed Sc2GeBiCl crystal.

```
Sc2GeBiCl
1.0
4.774 0.000 0.000
0.000 4.774 0.000
0.000 0.000 5.695
Sc Ge Bi Cl
2 1 1 1
direct
0.000 0.500 0.000
0.500 0.000 0.000
0.000 0.000 0.500
0.500 0.500 0.500
0.500 0.500 0.000
```

E	-4.577	eV/atom

=====

[8]
DFT (PBE-GGA) results for a relaxed Sc2GeBiCl crystal.

```
Sc2GeBiCl
1.0
5.632 0.000 0.000
0.000 5.632 0.000
0.000 0.000 5.387
Sc Ge Bi Cl
2 1 1 1
direct
0.000 0.500 0.000
0.500 0.000 0.000
0.000 0.000 0.500
0.000 0.000 0.000
0.500 0.500 0.500
```

E	-4.173	eV/atom

=====

[9]
DFT (PBE-GGA) results for a relaxed ScGeBiCl2 crystal.

```
ScGeBiCl2
1.0
4.887 0.000 0.000
0.000 4.887 0.000
0.000 0.000 5.962
Sc Ge Bi Cl
1 1 1 2
direct
0.000 0.000 0.000
0.500 0.500 0.500
0.500 0.500 0.000
0.000 0.500 0.500
0.500 0.000 0.500
```

E	-3.927	eV/atom

=====

[10]
DFT (PBE-GGA) results for a relaxed GeBiSeCl2 crystal.

```
GeBiSeCl2
1.0
5.204 0.000 0.000
0.000 5.204 0.000
0.000 0.000 6.219
Ge Bi Se Cl
1 1 1 2
direct
0.000 0.000 0.000
0.000 0.000 0.500
0.500 0.500 0.000
0.000 0.500 0.500
0.500 0.000 0.500
```

E	-2.994	eV/atom

=====

[11]
DFT (PBE-GGA) results for a relaxed Sm3GeBiCl crystal.

```
Sm3GeBiCl
1.0
8.645 0.000 0.000
0.000 4.439 0.000
-2.003 0.000 9.351
Sm Ge Bi Cl
6 2 2 2
direct
0.074 0.250 0.348
0.233 0.250 0.978
0.386 0.750 0.636
0.614 0.250 0.364
0.767 0.750 0.022
0.926 0.750 0.652
0.160 0.250 0.660
0.840 0.750 0.340
0.320 0.750 0.276
0.680 0.250 0.724
0.402 0.750 0.923
0.598 0.250 0.077
```

E	-5.064	eV/atom

=====

[12]
DFT (PBE-GGA) results for a relaxed GeBi2TeCl crystal.

```
GeBi2TeCl
1.0
5.637 0.000 0.000
0.000 5.637 0.000
0.000 0.000 4.966
Ge Bi Te Cl
1 2 1 1
direct
0.000 0.000 0.000
0.000 0.500 0.500
0.500 0.000 0.500
0.500 0.500 0.000
0.000 0.000 0.500
```

E	-2.835	eV/atom

=====

[13]
DFT (PBE-GGA) results for a relaxed Bi2HCl crystal.

```
Bi2HCl
1.0
6.301 0.000 0.000
0.000 6.301 0.000
0.000 0.000 10.422
Bi H Cl
8 4 4
direct
0.133 0.250 0.125
0.250 0.633 0.375
0.250 0.867 0.875
0.367 0.250 0.625
0.633 0.750 0.625
0.750 0.133 0.875
0.750 0.367 0.375
0.867 0.750 0.125
0.000 0.000 0.000
0.000 0.500 0.250
0.500 0.000 0.750
0.500 0.500 0.500
0.000 0.000 0.500
0.000 0.500 0.750
0.500 0.000 0.250
0.500 0.500 0.000
```

E	-3.038	eV/atom

=====

[14]
DFT (PBE-GGA) results for a relaxed Bi2HCl crystal.

```
Bi2HCl
1.0
7.110 0.000 0.000
0.000 7.110 0.000
0.000 0.000 7.110
Bi H Cl
8 4 4
direct
0.250 0.250 0.250
0.250 0.250 0.750
0.250 0.750 0.250
0.250 0.750 0.750
0.750 0.250 0.250
0.750 0.250 0.750
0.750 0.750 0.250
0.750 0.750 0.750
0.000 0.000 0.000
0.000 0.500 0.500
0.500 0.000 0.500
0.500 0.500 0.000
0.000 0.000 0.500
0.000 0.500 0.000
0.500 0.000 0.000
0.500 0.500 0.500
```

E	-2.807	eV/atom

=====

[15]
DFT (PBE-GGA) results for a relaxed BiH3Cl crystal.

```
BiH3Cl
1.0
4.061 0.000 0.000
0.000 4.061 0.000
0.000 0.000 4.061
Bi H Cl
1 3 1
direct
0.000 0.000 0.000
0.000 0.000 0.500
0.000 0.500 0.000
0.500 0.000 0.000
0.500 0.500 0.500
```

E	-2.868	eV/atom

=====

[16]
DFT (PBE-GGA) results for a relaxed BiH2Cl4 crystal.

```
BiH2Cl4
1.0
4.062 0.000 0.000
-1.475 7.324 0.000
-0.943 -3.720 7.101
Bi H Cl
1 2 4
direct
0.000 0.000 0.000
0.408 0.315 0.741
0.592 0.685 0.259
0.290 0.448 0.706
0.454 0.018 0.773
0.546 0.982 0.227
0.710 0.552 0.294
```

E	-3.118	eV/atom

=====

[17]
DFT (PBE-GGA) results for a relaxed Bi3HCl crystal.

```
Bi3HCl
1.0
4.960 0.000 0.000
0.000 4.960 0.000
0.000 0.000 4.960
Bi H Cl
3 1 1
direct
0.000 0.000 0.500
0.000 0.500 0.000
0.500 0.000 0.000
0.000 0.000 0.000
0.500 0.500 0.500
```

E	-3.108	eV/atom

=====

[18]
DFT (PBE-GGA) results for a relaxed BiH2Cl crystal.

```
BiH2Cl
1.0
6.080 0.000 0.000
0.000 6.080 0.000
0.000 0.000 6.080
Bi H Cl
4 8 4
direct
0.000 0.000 0.000
0.000 0.500 0.500
0.500 0.000 0.500
0.500 0.500 0.000
0.250 0.250 0.250
0.250 0.250 0.750
0.250 0.750 0.250
0.250 0.750 0.750
0.750 0.250 0.250
0.750 0.250 0.750
0.750 0.750 0.250
0.750 0.750 0.750
0.000 0.000 0.500
0.000 0.500 0.000
0.500 0.000 0.000
0.500 0.500 0.500
```

E	-2.499	eV/atom

=====

[19]
DFT (PBE-GGA) results for a relaxed BiH3Cl crystal.

```
BiH3Cl
1.0
3.944 0.000 0.000
0.000 3.944 0.000
0.000 0.000 3.944
Bi H Cl
1 3 1
direct
0.000 0.000 0.000
0.000 0.500 0.500
0.500 0.000 0.500
0.500 0.500 0.000
0.500 0.500 0.500
```

E	-2.126	eV/atom

=====

[20]
DFT (PBE-GGA) results for a relaxed BiH2Cl crystal.

```
BiH2Cl
1.0
4.652 0.000 0.000
0.000 4.652 0.000
0.000 0.000 13.127
Bi H Cl
4 8 4
direct
0.000 0.250 0.375
0.000 0.750 0.625
0.500 0.250 0.125
0.500 0.750 0.875
0.000 0.000 0.500
0.000 0.500 0.500
0.250 0.250 0.250
0.250 0.750 0.750
0.500 0.000 0.000
0.500 0.500 0.000
0.750 0.250 0.250
0.750 0.750 0.750
0.000 0.250 0.875
0.000 0.750 0.125
0.500 0.250 0.625
0.500 0.750 0.375
```

E	-2.976	eV/atom

=====

[21]
DFT (PBE-GGA) results for a relaxed BiH4Cl4 crystal.

```
BiH4Cl4
1.0
-6.441 6.441 1.484
6.441 -6.441 1.484
6.441 6.441 -1.484
Bi H Cl
1 4 4
direct
0.000 0.000 0.000
0.087 0.672 0.759
0.328 0.087 0.415
0.672 0.913 0.585
0.913 0.328 0.241
0.168 0.375 0.542
0.375 0.832 0.207
0.625 0.168 0.793
0.832 0.625 0.458
```

E	-2.852	eV/atom

=====

[22]
DFT (PBE-GGA) results for a relaxed BiH2Cl crystal.

```
BiH2Cl
1.0
4.567 0.000 0.000
0.038 4.612 0.000
2.264 -0.001 9.215
Bi H Cl
2 4 2
direct
0.000 0.000 0.000
0.500 0.500 0.000
0.007 0.819 0.402
0.095 0.681 0.403
0.905 0.319 0.597
0.993 0.181 0.598
0.371 0.750 0.757
0.629 0.250 0.243
```

E	-3.370	eV/atom

=====

[23]
DFT (PBE-GGA) results for a relaxed BiHIrCl2 crystal.

```
BiHIrCl2
1.0
5.093 0.000 0.000
0.000 5.093 0.000
0.000 0.000 3.453
Bi H Ir Cl
1 1 1 2
direct
0.000 0.000 0.000
0.500 0.500 0.500
0.500 0.500 0.000
0.000 0.500 0.500
0.500 0.000 0.500
```

E	-3.334	eV/atom

=====

[24]
DFT (PBE-GGA) results for a relaxed BiH2ClO2 crystal.

```
BiH2ClO2
1.0
6.976 0.000 0.000
0.000 4.104 0.000
-3.180 0.000 6.581
Bi H Cl O
2 4 2 4
direct
0.056 0.250 0.214
0.944 0.750 0.786
0.497 0.058 0.280
0.497 0.442 0.280
0.503 0.558 0.720
0.503 0.942 0.720
0.253 0.250 0.728
0.747 0.750 0.272
0.123 0.750 0.114
0.433 0.250 0.315
0.567 0.750 0.685
0.877 0.250 0.886
```

E	-4.812	eV/atom

=====

[25]
DFT (PBE-GGA) results for a relaxed BiPHCl2 crystal.

```
BiPHCl2
1.0
4.372 0.000 0.000
0.000 4.372 0.000
0.000 0.000 4.657
Bi P H Cl
1 1 1 2
direct
0.000 0.000 0.000
0.500 0.500 0.000
0.500 0.500 0.500
0.000 0.500 0.500
0.500 0.000 0.500
```

E	-2.794	eV/atom

=====

[26]
DFT (PBE-GGA) results for a relaxed BiPHCl2 crystal.

```
BiPHCl2
1.0
5.494 0.000 0.000
0.000 5.494 0.000
0.000 0.000 5.683
Bi P H Cl
1 1 1 2
direct
0.000 0.000 0.000
0.000 0.000 0.500
0.500 0.500 0.500
0.000 0.500 0.000
0.500 0.000 0.000
```

E	-2.801	eV/atom